Entry 1:
Here is a geometry-optimized LaYHS2 structure from the Alexandria database. Energies are from GGA-PBE.

It has space group P4/mmm (No. 123), with a = 5.241 Å, b = 5.241 Å, c = 3.972 Å, α = 90.00°, β = 90.00° and γ = 90.00°. The distinct sites, in fractional coordinates, are La at (0.000, 0.000, 0.000), Y at (0.500, 0.500, 0.500), H at (0.500, 0.500, 0.000) and S at (0.000, 0.500, 0.500).

The total DFT energy (no corrections) is -30.2 eV for the cell shown.


Entry 2:
Here is a geometry-optimized LaSbH2 structure from the Alexandria database. Energies are from GGA-PBE.

It has space group R-3m (No. 166, hexagonal axes), with a = 3.8399 Å, b = 3.8399 Å, c = 17.2264 Å, α = 90.00°, β = 90.00° and γ = 120.00°. The distinct sites, in fractional coordinates, are La at (0.0000, 0.0000, 0.0000), Sb at (0.0000, 0.0000, 0.5000) and H at (0.0000, 0.0000, 0.3022).

The total DFT energy (no corrections) is -52.2 eV for the cell shown.


Entry 3:
Here is a geometry-optimized La4Sb2H structure from the Alexandria database. Energies are from GGA-PBE.

It has space group P2_1/m (No. 11), with a = 7.455 Å, b = 6.601 Å, c = 8.872 Å, α = 90.00°, β = 107.13° and γ = 90.00°. The distinct sites, in fractional coordinates, are La at (0.002, 0.008, 0.268), La at (0.392, 0.250, 0.080), La at (0.415, 0.250, 0.621), Sb at (0.243, 0.750, 0.057), Sb at (0.288, 0.750, 0.576) and H at (0.228, 0.250, 0.803).

The total DFT energy (no corrections) is -74.4 eV for the cell shown.


Entry 4:
Here is a geometry-optimized La3SbH2 structure from the Alexandria database. Energies are from GGA-PBE.

It has space group C2/m (No. 12), with a = 23.274 Å, b = 4.225 Å, c = 6.516 Å, α = 90.00°, β = 104.01° and γ = 90.00°. The distinct sites, in fractional coordinates, are La at (0.041, 0.000, 0.285), La at (0.103, 0.500, 0.851), La at (0.229, 0.000, 0.223), Sb at (0.149, 0.500, 0.401), H at (0.060, 0.000, 0.932) and H at (0.211, 0.500, 0.024).

The total DFT energy (no corrections) is -117.7 eV for the cell shown.


Calculated size of the total moment, 0.00, 0.00, 0.06, 0.01 μB/cell (same order as the records).